[1]
{"formula": "LiGaFe2C", "functional": "PBE-GGA", "state": "optimized geometry", "lattice_angstrom": [[-1.4937, -0.6154, 3.3490], [3.6920, -0.7520, 1.5085], [0.3918, 3.6017, 0.8365]], "species": ["C", "Fe", "Fe", "Ga", "Li"], "fractional_positions": [[0.0000, 0.0000, 0.0000], [0.0000, 0.0000, 0.5000], [0.5000, 0.0000, 0.0000], [0.0000, 0.5000, 0.0000], [0.5000, 0.5000, 0.5000]], "de_polymorph_ev_per_atom": 0.300, "ef_ev_per_atom": 0.26, "m_tot_mub_per_fu": 2.27}


[2]
{"formula": "LaZr2Ga2", "functional": "PBE-GGA", "state": "optimized geometry", "lattice_angstrom": [[4.3384, 0.0000, 0.0000], [0.0000, 4.3384, 0.0000], [2.1692, 2.1692, 6.3308]], "species": ["Ga", "Ga", "Zr", "Zr", "La"], "fractional_positions": [[0.3991, 0.3991, 0.2017], [0.6009, 0.6009, 0.7983], [0.7500, 0.2500, 0.5000], [0.2500, 0.7500, 0.5000], [0.0000, 0.0000, 0.0000]], "de_polymorph_ev_per_atom": 0.000, "ef_ev_per_atom": -0.44, "m_tot_mub_per_fu": 0.00}


[3]
{"formula": "La3Ho2TmBi6", "functional": "PBE-GGA", "state": "optimized geometry", "lattice_angstrom": [[7.9489, -0.0005, 0.0010], [-3.9729, 6.8849, 0.0010], [-1.3254, -2.2950, 7.4448]], "species": ["La", "La", "La", "Ho", "Ho", "Tm", "Bi", "Bi", "Bi", "Bi", "Bi", "Bi"], "fractional_positions": [[0.1672, 0.8328, 0.5000], [0.8328, 0.1672, 0.5000], [0.5000, 0.5000, 0.5000], [0.3337, 0.6663, 0.0000], [0.6663, 0.3337, 0.0000], [0.0000, 0.0000, 0.0000], [0.9218, 0.5895, 0.7650], [0.7466, 0.7466, 0.2359], [0.0782, 0.4105, 0.2350], [0.5895, 0.9218, 0.7650], [0.2534, 0.2534, 0.7641], [0.4105, 0.0782, 0.2350]], "ef_ev_per_atom": -0.93, "m_tot_mub_per_fu": 0.00}


[4]
{"formula": "PRu3", "functional": "PBE-GGA", "state": "optimized geometry", "lattice_angstrom": [[-2.6954, 2.8771, 7.2108], [-3.0067, 0.1475, 7.6470], [-0.5393, 1.3540, 8.0879]], "species": ["P", "Ru", "Ru", "Ru"], "fractional_positions": [[0.0000, 0.0000, 0.0000], [0.2581, 0.2581, 0.2581], [0.5000, 0.5000, 0.5000], [0.7419, 0.7419, 0.7419]], "de_polymorph_ev_per_atom": 0.149, "ef_ev_per_atom": -0.02, "m_tot_mub_per_fu": 0.00}


[5]
{"formula": "CaAc6Sm12", "functional": "PBE-GGA", "state": "optimized geometry", "lattice_angstrom": [[9.1227, -0.1497, -1.2431], [-1.4038, 9.0153, -1.2431], [-0.1303, -0.1497, 9.2061]], "species": ["Ca", "Ac", "Ac", "Ac", "Ac", "Ac", "Ac", "Sm", "Sm", "Sm", "Sm", "Sm", "Sm", "Sm", "Sm", "Sm", "Sm", "Sm", "Sm"], "fractional_positions": [[0.0000, 0.0000, 0.0000], [0.8942, 0.3401, 0.8942], [0.8942, 0.8942, 0.3401], [0.3401, 0.8942, 0.8942], [0.1058, 0.1058, 0.6599], [0.1058, 0.6599, 0.1058], [0.6599, 0.1058, 0.1058], [0.7546, 0.2454, 0.5000], [0.3595, 0.0770, 0.3595], [0.3595, 0.3595, 0.0770], [0.9230, 0.6405, 0.6405], [0.6405, 0.6405, 0.9230], [0.6405, 0.9230, 0.6405], [0.5000, 0.7546, 0.2454], [0.2454, 0.5000, 0.7546], [0.2454, 0.7546, 0.5000], [0.5000, 0.2454, 0.7546], [0.7546, 0.5000, 0.2454], [0.0770, 0.3595, 0.3595]], "ef_ev_per_atom": 0.24, "m_tot_mub_per_fu": 0.00}


[6]
{"formula": "MgCr3Ge", "functional": "PBE-GGA", "state": "optimized geometry", "lattice_angstrom": [[4.7284, 0.0000, 0.0000], [0.0000, 4.7284, 0.0000], [0.0000, 0.0000, 4.7284]], "species": ["Cr", "Cr", "Cr", "Ge", "Mg"], "fractional_positions": [[0.0000, 0.5000, 0.0000], [0.0000, 0.0000, 0.5000], [0.5000, 0.0000, 0.0000], [0.0000, 0.0000, 0.0000], [0.5000, 0.5000, 0.5000]], "de_polymorph_ev_per_atom": 0.000, "ef_ev_per_atom": 0.89, "m_tot_mub_per_fu": 10.58}


[7]
{"formula": "Y2ZrFe", "functional": "PBE-GGA", "state": "optimized geometry", "lattice_angstrom": [[-1.2056, 1.4106, 4.2845], [3.8592, -1.9753, 1.7363], [2.1940, 3.7453, -0.6157]], "species": ["Fe", "Y", "Y", "Zr"], "fractional_positions": [[0.0000, 0.5000, 0.5000], [0.0000, 0.0000, 0.0000], [0.5000, 0.5000, 0.0000], [0.5000, 0.0000, 0.5000]], "de_polymorph_ev_per_atom": 0.316, "ef_ev_per_atom": 0.36, "m_tot_mub_per_fu": 2.72}


[8]
{"formula": "Rb3MnHg2Cl9", "functional": "PBE-GGA", "state": "optimized geometry", "lattice_angstrom": [[7.4405, 0.0000, 0.0000], [-3.7203, 6.4437, 0.0000], [0.0000, 0.0000, 9.1171]], "species": ["Rb", "Rb", "Rb", "Mn", "Hg", "Hg", "Cl", "Cl", "Cl", "Cl", "Cl", "Cl", "Cl", "Cl", "Cl"], "fractional_positions": [[0.3333, 0.6667, 0.6710], [0.0000, 0.0000, 0.0000], [0.6667, 0.3333, 0.3290], [0.0000, 0.0000, 0.5000], [0.3333, 0.6667, 0.1761], [0.6667, 0.3333, 0.8239], [0.8406, 0.1594, 0.6573], [0.8406, 0.6813, 0.6573], [0.3187, 0.1594, 0.6573], [0.6813, 0.8406, 0.3427], [0.1594, 0.3187, 0.3427], [0.1594, 0.8406, 0.3427], [0.5000, 0.0000, 0.0000], [0.0000, 0.5000, 0.0000], [0.5000, 0.5000, 0.0000]], "m_tot_mub_per_fu": 4.98, "formation_energy_uncorrected_ev_per_atom": -1.237}


[9]
{"formula": "Sm2Al3Pt", "functional": "PBE-GGA", "state": "optimized geometry", "lattice_angstrom": [[4.9599, -0.1521, -2.6176], [-3.1516, 4.6357, -0.2295], [-0.2741, 0.0867, 5.4906]], "species": ["Sm", "Sm", "Al", "Al", "Al", "Pt"], "fractional_positions": [[0.7501, 0.3750, 0.1251], [0.2499, 0.6250, 0.8749], [0.5000, 0.5000, 0.5000], [0.0000, 0.0000, 0.5000], [0.5000, 0.0000, 0.5000], [0.0000, 0.0000, 0.0000]], "ef_ev_per_atom": -0.77, "m_tot_mub_per_fu": 0.00}


[10]
{"formula": "KBaCd2Rh", "functional": "PBE-GGA", "state": "optimized geometry", "lattice_angstrom": [[-2.8779, -4.3050, 1.7805], [3.0611, -3.3251, -3.0917], [3.6174, -0.6485, 4.2790]], "species": ["K", "Rh", "Ba", "Cd", "Cd"], "fractional_positions": [[0.5000, 0.5000, 0.5000], [0.0000, 0.0000, 0.0000], [0.0000, 0.0000, 0.5000], [0.0000, 0.5000, 0.0000], [0.5000, 0.0000, 0.0000]], "ef_ev_per_atom": -0.11, "m_tot_mub_per_fu": 0.00}


[11]
{"formula": "Nd2ScAl12Co3", "functional": "PBE-GGA", "state": "optimized geometry", "lattice_angstrom": [[-5.8463, 2.2478, 4.7694], [-4.0409, -5.8416, 3.3949], [1.3235, -1.0120, 7.6943]], "species": ["Nd", "Nd", "Sc", "Al", "Al", "Al", "Al", "Al", "Al", "Al", "Al", "Al", "Al", "Al", "Al", "Co", "Co", "Co"], "fractional_positions": [[0.5839, 0.5839, 0.5839], [0.4161, 0.4161, 0.4161], [0.0000, 0.0000, 0.0000], [0.2741, 0.2741, 0.9015], [0.8415, 0.8415, 0.4610], [0.4610, 0.8415, 0.8415], [0.9015, 0.2741, 0.2741], [0.8415, 0.4610, 0.8415], [0.2741, 0.9015, 0.2741], [0.7259, 0.7259, 0.0985], [0.1585, 0.1585, 0.5390], [0.5390, 0.1585, 0.1585], [0.0985, 0.7259, 0.7259], [0.1585, 0.5390, 0.1585], [0.7259, 0.0985, 0.7259], [0.5000, 0.0000, 0.0000], [0.0000, 0.5000, 0.0000], [0.0000, 0.0000, 0.5000]], "ef_ev_per_atom": 0.04, "m_tot_mub_per_fu": 0.00}


[12]
{"formula": "PmSm3Ho2Er6", "functional": "PBE-GGA", "state": "optimized geometry", "lattice_angstrom": [[-4.2817, -2.9204, -3.3159], [5.4598, -2.6573, 0.9933], [-4.5144, -3.0242, 10.3897]], "species": ["Pm", "Sm", "Sm", "Sm", "Ho", "Ho", "Er", "Er", "Er", "Er", "Er", "Er"], "fractional_positions": [[0.0000, 0.0000, 0.0000], [0.1668, 0.8332, 0.5000], [0.8332, 0.1668, 0.5000], [0.5000, 0.5000, 0.5000], [0.3332, 0.6667, 0.0000], [0.6667, 0.3332, 0.0000], [0.9170, 0.5833, 0.7514], [0.7491, 0.7491, 0.2485], [0.0830, 0.4167, 0.2486], [0.5833, 0.9170, 0.7514], [0.2509, 0.2509, 0.7515], [0.4167, 0.0830, 0.2486]], "ef_ev_per_atom": 0.02, "m_tot_mub_per_fu": 0.00}


[13]
{"formula": "RbZrTlBr6", "functional": "PBE-GGA", "state": "optimized geometry", "lattice_angstrom": [[-0.7409, 7.9344, 0.8592], [-3.9516, -3.7830, -5.8580], [-10.6359, -1.9032, 8.4036]], "species": ["Rb", "Rb", "Zr", "Zr", "Tl", "Tl", "Br", "Br", "Br", "Br", "Br", "Br", "Br", "Br", "Br", "Br", "Br", "Br"], "fractional_positions": [[0.0000, 0.0000, 0.0000], [0.0000, 0.0000, 0.5000], [0.6667, 0.3333, 0.2500], [0.3333, 0.6667, 0.7500], [0.3333, 0.6667, 0.2500], [0.6667, 0.3333, 0.7500], [0.6622, 0.6012, 0.1372], [0.9389, 0.3378, 0.1372], [0.3378, 0.9389, 0.6372], [0.0611, 0.6622, 0.8628], [0.3988, 0.3378, 0.3628], [0.9389, 0.6012, 0.3628], [0.6012, 0.9389, 0.8628], [0.6622, 0.0611, 0.3628], [0.0611, 0.3988, 0.6372], [0.3988, 0.0611, 0.1372], [0.6012, 0.6622, 0.6372], [0.3378, 0.3988, 0.8628]], "m_tot_mub_per_fu": 0.00, "formation_energy_uncorrected_ev_per_atom": -1.380}


[14]
{"formula": "Hg2HPt2", "functional": "PBE-GGA", "state": "optimized geometry", "lattice_angstrom": [[5.5952, 0.0000, 0.0000], [0.0000, 5.5952, 0.0000], [0.0000, 0.0000, 5.2066]], "species": ["H", "H", "Hg", "Hg", "Hg", "Hg", "Pt", "Pt", "Pt", "Pt"], "fractional_positions": [[0.0000, 0.0000, 0.0000], [0.5000, 0.5000, 0.0000], [0.1802, 0.6802, 0.5000], [0.6802, 0.8198, 0.5000], [0.8198, 0.3198, 0.5000], [0.3198, 0.1802, 0.5000], [0.2987, 0.7987, 0.0000], [0.7987, 0.7013, 0.0000], [0.7013, 0.2013, 0.0000], [0.2013, 0.2987, 0.0000]], "de_polymorph_ev_per_atom": 0.110, "m_tot_mub_per_fu": 0.00}


[15]
{"formula": "Ta3Au", "functional": "PBE-GGA", "state": "optimized geometry", "lattice_angstrom": [[-3.4000, -3.6829, 1.6218], [3.5633, -6.1878, -6.5814], [3.8174, -1.8487, 3.8049]], "species": ["Au", "Au", "Au", "Au", "Ta", "Ta", "Ta", "Ta", "Ta", "Ta", "Ta", "Ta", "Ta", "Ta", "Ta", "Ta"], "fractional_positions": [[0.0595, 0.7500, 0.6264], [0.4405, 0.2500, 0.1264], [0.5595, 0.7500, 0.8736], [0.9405, 0.2500, 0.3736], [0.9887, 0.2500, 0.8672], [0.2371, 0.0098, 0.3736], [0.2371, 0.4902, 0.3736], [0.2629, 0.5098, 0.8736], [0.2629, 0.9902, 0.8736], [0.5113, 0.7500, 0.3672], [0.4887, 0.2500, 0.6328], [0.7371, 0.0098, 0.1264], [0.7371, 0.4902, 0.1264], [0.7629, 0.5098, 0.6264], [0.7629, 0.9902, 0.6264], [0.0113, 0.7500, 0.1328]], "de_polymorph_ev_per_atom": 0.144, "ef_ev_per_atom": 0.09, "m_tot_mub_per_fu": 0.00}


[16]
{"formula": "CaPm2RhO6", "functional": "PBE-GGA", "state": "optimized geometry", "lattice_angstrom": [[5.5866, 0.0000, -0.0475], [0.0000, 5.9414, 0.0000], [-0.0192, 0.0000, 8.1038]], "species": ["Ca", "Ca", "Pm", "Pm", "Pm", "Pm", "Rh", "Rh", "O", "O", "O", "O", "O", "O", "O", "O", "O", "O", "O", "O"], "fractional_positions": [[0.5000, 0.0000, 0.0000], [0.0000, 0.5000, 0.5000], [0.0229, 0.9332, 0.2520], [0.5229, 0.5668, 0.7520], [0.9771, 0.0668, 0.7480], [0.4771, 0.4332, 0.2480], [0.5000, 0.0000, 0.5000], [0.0000, 0.5000, 0.0000], [0.2937, 0.6831, 0.0604], [0.7937, 0.8169, 0.5604], [0.7063, 0.3169, 0.9396], [0.2063, 0.1831, 0.4396], [0.3264, 0.7115, 0.4286], [0.8264, 0.7885, 0.9286], [0.6736, 0.2885, 0.5714], [0.1736, 0.2115, 0.0714], [0.8720, 0.5550, 0.2315], [0.3720, 0.9450, 0.7315], [0.1280, 0.4450, 0.7685], [0.6280, 0.0550, 0.2685]], "m_tot_mub_per_fu": 1.05, "formation_energy_uncorrected_ev_per_atom": -2.507}


[17]
{"formula": "CdRu4Cl", "functional": "PBE-GGA", "state": "optimized geometry", "lattice_angstrom": [[1.1589, -5.1302, -0.1565], [-3.5542, -3.4469, -1.7813], [0.7423, -2.3895, -4.6288]], "species": ["Cd", "Ru", "Ru", "Ru", "Ru", "Cl"], "fractional_positions": [[0.7500, 0.7500, 0.7500], [0.8775, 0.3742, 0.3742], [0.3742, 0.3742, 0.8775], [0.3742, 0.8775, 0.3742], [0.3742, 0.3742, 0.3742], [0.0000, 0.0000, 0.0000]], "m_tot_mub_per_fu": 5.01, "formation_energy_uncorrected_ev_per_atom": 0.931}


[18]
{"formula": "Sc2NiSnW", "functional": "PBE-GGA", "state": "optimized geometry", "lattice_angstrom": [[4.7207, 0.0000, 0.0000], [0.0000, 4.6506, 0.0000], [0.0000, 0.0000, 4.7207]], "species": ["Sc", "Sc", "Ni", "Sn", "W"], "fractional_positions": [[0.0000, 0.0000, 0.5000], [0.5000, 0.0000, 0.0000], [0.0000, 0.0000, 0.0000], [0.0000, 0.5000, 0.0000], [0.5000, 0.5000, 0.5000]], "ef_ev_per_atom": 0.51, "m_tot_mub_per_fu": 0.00}


[19]
{"formula": "Tb4PmDy3", "functional": "PBE-GGA", "state": "optimized geometry", "lattice_angstrom": [[5.5554, 0.0000, -1.1073], [-0.0634, 3.5428, -0.3182], [-0.2331, 1.1962, 13.3197]], "species": ["Dy", "Dy", "Dy", "Tb", "Tb", "Tb", "Tb", "Pm"], "fractional_positions": [[0.0000, 0.5000, 0.0000], [0.8451, 0.9996, 0.6902], [0.1549, 0.0004, 0.3098], [0.6048, 0.5002, 0.2096], [0.3952, 0.4998, 0.7904], [0.2760, 0.4989, 0.5521], [0.7240, 0.5011, 0.4479], [0.5000, 0.0000, 0.0000]], "de_polymorph_ev_per_atom": 0.197, "ef_ev_per_atom": 0.21, "m_tot_mub_per_fu": 0.00}


[20]
{"formula": "ScOs2Au", "functional": "PBE-GGA", "state": "optimized geometry", "lattice_angstrom": [[-7.8027, -1.6833, -5.0457], [-6.5004, -4.1989, -5.4119], [-8.1002, -3.7435, -3.0899]], "species": ["Au", "Os", "Os", "Sc"], "fractional_positions": [[0.7500, 0.7500, 0.7500], [0.9972, 0.9972, 0.9972], [0.5028, 0.5028, 0.5028], [0.2500, 0.2500, 0.2500]], "de_polymorph_ev_per_atom": 0.443, "ef_ev_per_atom": 0.35, "m_tot_mub_per_fu": 0.00}